# Mn2ReAg | Alexandria | GGA-PBE | optimized geometry
data_Mn2ReAg
_space_group_name_H-M_alt 'R 3 m'
_space_group_IT_number 160
_space_group_name_Hall 'R 3 -2"'
_cell_length_a 2.7456
_cell_length_b 2.7456
_cell_length_c 26.6196
_cell_angle_alpha 90.00
_cell_angle_beta 90.00
_cell_angle_gamma 120.00
loop_
_atom_site_label
_atom_site_fract_x
_atom_site_fract_y
_atom_site_fract_z
Mn1 0.0000 0.0000 0.0000
Mn2 0.0000 0.0000 0.2579
Re1 0.0000 0.0000 0.5177
Ag1 0.0000 0.0000 0.7551
# Total DFT energy (no corrections)   -8.062 eV/atom
# Energy of formation   0.347 eV/atom
# Relative energy among the computed polymorphs   0.088 eV per atom


# MnZn2ReAg | Alexandria | GGA-PBE | optimized geometry
data_MnZn2ReAg
_space_group_name_H-M_alt 'P 4/m m m'
_space_group_IT_number 123
_space_group_name_Hall '-P 4 2'
_cell_length_a 4.8737
_cell_length_b 4.8737
_cell_length_c 4.5242
_cell_angle_alpha 90.00
_cell_angle_beta 90.00
_cell_angle_gamma 90.00
loop_
_atom_site_label
_atom_site_fract_x
_atom_site_fract_y
_atom_site_fract_z
Mn1 0.0000 0.0000 0.0000
Zn1 0.0000 0.5000 0.5000
Re1 0.0000 0.0000 0.5000
Ag1 0.5000 0.5000 0.0000
# Total DFT energy (no corrections)   -4.391 eV/atom
# Energy of formation   1.012 eV/atom


# MnAg2Rh | Alexandria | GGA-PBE | optimized geometry
data_MnAg2Rh
_space_group_name_H-M_alt 'P 1 2/m 1'
_space_group_IT_number 10
_cell_length_a 2.8109
_cell_length_b 4.8186
_cell_length_c 4.8175
_cell_angle_alpha 90.00
_cell_angle_beta 93.91
_cell_angle_gamma 90.00
loop_
_space_group_symop_operation_xyz
'x,y,z'
'-x,-y,-z'
'-x,y,-z'
'x,-y,z'
loop_
_atom_site_label
_atom_site_fract_x
_atom_site_fract_y
_atom_site_fract_z
Mn1 0.0000 0.0000 0.0000
Ag1 0.2423 0.5000 0.7503
Rh1 0.5000 0.0000 0.5000
# Total DFT energy (no corrections)   -5.323 eV/atom
# Energy of formation   0.233 eV/atom
# Relative energy among the computed polymorphs   0.142 eV per atom


# MnAg2Rh | Alexandria | GGA-PBE | optimized geometry
data_MnAg2Rh
_space_group_name_H-M_alt 'I -4 2 d'
_space_group_IT_number 122
_space_group_name_Hall 'I -4 2bw'
_cell_length_a 7.3391
_cell_length_b 7.3391
_cell_length_c 5.2973
_cell_angle_alpha 90.00
_cell_angle_beta 90.00
_cell_angle_gamma 90.00
loop_
_atom_site_label
_atom_site_fract_x
_atom_site_fract_y
_atom_site_fract_z
Mn1 0.0000 0.0000 0.0000
Ag1 0.2457 0.2500 0.1250
Rh1 0.0000 0.0000 0.5000
# Total DFT energy (no corrections)   -5.024 eV/atom
# Energy of formation   0.532 eV/atom
# Relative energy among the computed polymorphs   0.440 eV per atom


# MnAg2Rh | Alexandria | GGA-PBE | optimized geometry
data_MnAg2Rh
_space_group_name_H-M_alt 'I 4/m m m'
_space_group_IT_number 139
_space_group_name_Hall '-I 4 2'
_cell_length_a 3.8784
_cell_length_b 3.8784
_cell_length_c 8.5248
_cell_angle_alpha 90.00
_cell_angle_beta 90.00
_cell_angle_gamma 90.00
loop_
_atom_site_label
_atom_site_fract_x
_atom_site_fract_y
_atom_site_fract_z
Mn1 0.0000 0.0000 0.0000
Ag1 0.0000 0.5000 0.2500
Rh1 0.0000 0.0000 0.5000
# Total DFT energy (no corrections)   -5.401 eV/atom
# Energy of formation   0.155 eV/atom
# Relative energy among the computed polymorphs   0.064 eV per atom


# MnAg2Rh | Alexandria | GGA-PBE | optimized geometry
data_MnAg2Rh
_space_group_name_H-M_alt 'C 1 m 1'
_space_group_IT_number 8
_cell_length_a 9.2406
_cell_length_b 2.9579
_cell_length_c 4.8780
_cell_angle_alpha 90.00
_cell_angle_beta 103.70
_cell_angle_gamma 90.00
loop_
_space_group_symop_operation_xyz
'x,y,z'
'x,-y,z'
'x+1/2,y+1/2,z'
'x+1/2,-y+1/2,z'
loop_
_atom_site_label
_atom_site_fract_x
_atom_site_fract_y
_atom_site_fract_z
Mn1 0.0000 0.0000 0.0000
Ag1 0.0118 0.5000 0.5192
Ag2 0.2537 0.5000 0.2790
Rh1 0.2693 0.0000 0.7964
# Total DFT energy (no corrections)   -5.376 eV/atom
# Energy of formation   0.180 eV/atom
# Relative energy among the computed polymorphs   0.089 eV per atom


# MnAg2Rh | Alexandria | GGA-PBE | optimized geometry
data_MnAg2Rh
_space_group_name_H-M_alt 'P m m 2'
_space_group_IT_number 25
_cell_length_a 3.0553
_cell_length_b 3.4022
_cell_length_c 6.2050
_cell_angle_alpha 90.00
_cell_angle_beta 90.00
_cell_angle_gamma 90.00
loop_
_space_group_symop_operation_xyz
'x,y,z'
'-x,-y,z'
'-x,y,z'
'x,-y,z'
loop_
_atom_site_label
_atom_site_fract_x
_atom_site_fract_y
_atom_site_fract_z
Mn1 0.0000 0.0000 0.0000
Ag1 0.0000 0.0000 0.4640
Ag2 0.5000 0.5000 0.7315
Rh1 0.5000 0.5000 0.1902
# Total DFT energy (no corrections)   -5.457 eV/atom
# Energy of formation   0.099 eV/atom
# Relative energy among the computed polymorphs   0.007 eV per atom


# MnAg2Rh | Alexandria | GGA-PBE | optimized geometry
data_MnAg2Rh
_space_group_name_H-M_alt 'C 1 2/m 1'
_space_group_IT_number 12
_cell_length_a 9.6868
_cell_length_b 2.9910
_cell_length_c 4.5934
_cell_angle_alpha 90.00
_cell_angle_beta 104.21
_cell_angle_gamma 90.00
loop_
_space_group_symop_operation_xyz
'x,y,z'
'-x,-y,-z'
'-x,y,-z'
'x,-y,z'
'x+1/2,y+1/2,z'
'-x+1/2,-y+1/2,-z'
'-x+1/2,y+1/2,-z'
'x+1/2,-y+1/2,z'
loop_
_atom_site_label
_atom_site_fract_x
_atom_site_fract_y
_atom_site_fract_z
Mn1 0.0000 0.0000 0.0000
Ag1 0.2492 0.5000 0.2499
Rh1 0.0000 0.5000 0.5000
# Total DFT energy (no corrections)   -5.386 eV/atom
# Energy of formation   0.170 eV/atom
# Relative energy among the computed polymorphs   0.078 eV per atom